# 1
Material: NdDyCl
Method: DFT, PBE
State: optimized geometry

Calculated values
Size of the total moment (μB/cell): 0.7
Density (g/cm³): 5.7
Calculated volume (A^3/atom): 33.50
Energy (eV/atom): -4.638
Offset from the most stable computed form (meV/atom): 3
Raw formation energy (eV/atom): -0.90
Crystal system: triclinic

Cell lengths 3.7390, 3.7393, 16.6052 Å; angles 90.85, 91.23, 60.00 degrees
Last column: nearest neighbours and their distance in Å.
Fractional coordinates of all 6 atoms:
Nd 0.3898 0.8742 0.9532  3 Cl 2.87
Nd 0.4336 0.8873 0.4794  3 Cl 2.86
Dy 0.7386 0.2127 0.1325  9 Dy 3.55-3.74, 3 Nd 3.68
Dy 0.0862 0.5500 0.3026  9 Dy 3.55-3.74, 3 Nd 3.64
Cl 0.7761 0.2235 0.5924  3 Nd 2.86
Cl 0.7135 0.2048 0.8396  3 Nd 2.87

# 2
Material: Ac4Sm6Er
Method: DFT, PBE
State: optimized geometry

Calculated values
Size of the total moment (μB/cell): 0.0
Density (g/cm³): 7.7
Calculated volume (A^3/atom): 38.65
Energy (eV/atom): -4.224
Crystal system: tetragonal
Formation energy from the elements (kJ/mol of formula units): 275

Cell lengths 9.7478, 9.7478, 9.7478 Å; angles 62.39, 137.03, 137.03 degrees
Last column: nearest neighbours and their distance in Å.
Fractional coordinates of all 11 atoms:
Ac 0.0000 0.0153 0.6256  1 Er 3.58, 5 Sm 3.66-3.96, 1 Ac 3.94
Ac 0.0000 0.6256 0.0153  1 Er 3.58, 5 Sm 3.66-3.96, 1 Ac 3.94
Ac 0.3897 0.3744 0.3744  1 Er 3.58, 5 Sm 3.66-3.96, 1 Ac 3.94
Ac 0.6103 0.9847 0.9847  1 Er 3.58, 5 Sm 3.66-3.96, 1 Ac 3.94
Sm 0.0000 0.7705 0.4324  3 Sm 3.15-3.41
Sm 0.0000 0.4324 0.7705  3 Sm 3.15-3.41
Sm 0.3381 0.5676 0.5676  3 Sm 3.15-3.41
Sm 0.5000 0.0000 0.5000  4 Sm 3.15
Sm 0.5000 0.5000 0.0000  4 Sm 3.15
Sm 0.6619 0.2295 0.2295  3 Sm 3.15-3.41
Er 0.0000 0.0000 0.0000  8 Sm 3.57-3.75, 4 Ac 3.58

# 3
Material: MgCr2In2S6
Method: DFT, PBE
State: optimized geometry

Calculated values
Size of the total moment (μB/cell): 5.5
Density (g/cm³): 4.1
Calculated volume (A^3/atom): 20.08
Energy (eV/atom): -5.317
Raw formation energy (eV/atom): -0.67
Crystal system: monoclinic

Cell lengths 6.3326, 6.3326, 6.7459 Å; angles 98.55, 98.55, 121.08 degrees
Last column: nearest neighbours and their distance in Å.
Fractional coordinates of all 11 atoms:
S 0.2785 0.2785 0.2943  2 Cr 2.47, 1 Mg 2.53
S 0.9420 0.5790 0.2916  2 Cr 2.39-2.45, 1 Mg 2.63
S 0.5790 0.9420 0.2916  2 Cr 2.39-2.45, 1 Mg 2.63
S 0.4210 0.0580 0.7084  2 Cr 2.39-2.45, 1 Mg 2.63
S 0.0580 0.4210 0.7084  2 Cr 2.39-2.45, 1 Mg 2.63
S 0.7215 0.7215 0.7057  2 Cr 2.47, 1 Mg 2.53
In 0.1607 0.8393 0.0000  6 S 2.76-2.83
In 0.8393 0.1607 0.0000  6 S 2.76-2.83
Mg 0.0000 0.0000 0.5000  6 S 2.53-2.63
Cr 0.3323 0.6677 0.5000  6 S 2.39-2.47
Cr 0.6677 0.3323 0.5000  6 S 2.39-2.47

# 4
Material: SmHoTmGa
Method: DFT, PBE
State: optimized geometry

Calculated values
Size of the total moment (μB/cell): 0.4
Density (g/cm³): 8.6
Calculated volume (A^3/atom): 26.65
Energy (eV/atom): -4.294
Crystal system: cubic
Formation energy from the elements (kJ/mol of formula units): -37

Cell lengths 5.3225, 5.3225, 5.3225 Å; angles 60.00, 60.00, 60.00 degrees
Last column: nearest neighbours and their distance in Å.
Fractional coordinates of all 4 atoms:
Ga 0.2500 0.2500 0.2500  4 Ho 3.26, 4 Sm 3.26
Tm 0.7500 0.7500 0.7500  4 Sm 3.26, 4 Ho 3.26
Sm 0.5000 0.5000 0.5000  4 Tm 3.26, 4 Ga 3.26
Ho 0.0000 0.0000 0.0000  4 Tm 3.26, 4 Ga 3.26

# 5
Material: SrCa5As4
Method: DFT, PBE
State: optimized geometry

Calculated values
Size of the total moment (μB/cell): 0.0
Density (g/cm³): 3.0
Calculated volume (A^3/atom): 32.68
Energy (eV/atom): -4.102
Crystal system: monoclinic
Formation energy from the elements (kJ/mol of formula units): -1036

Cell lengths 4.7027, 7.7094, 11.8292 Å; angles 128.05, 101.47, 90.00 degrees
Last column: nearest neighbours and their distance in Å.
Fractional coordinates of all 10 atoms:
Ca 0.5000 0.5000 0.0000  4 As 3.02, 4 Ca 3.37
Ca 0.1769 0.2675 0.3538  4 As 2.87-3.07
Ca 0.8231 0.7325 0.6462  4 As 2.87-3.07
Ca 0.8754 0.3805 0.7508  4 As 2.88-3.17
Ca 0.1246 0.6195 0.2492  4 As 2.88-3.17
Sr 0.5000 0.0000 0.0000  6 As 3.27-3.28
As 0.6626 0.4945 0.3253  5 Ca 2.88-3.07
As 0.0452 0.8085 0.0903  5 Ca 2.87-3.17
As 0.9548 0.1915 0.9097  5 Ca 2.87-3.17
As 0.3374 0.5055 0.6747  5 Ca 2.88-3.07

# 6
Material: Be2FeCo
Method: DFT, PBE
State: optimized geometry

Calculated values
Size of the total moment (μB/cell): 1.7
Density (g/cm³): 5.9
Calculated volume (A^3/atom): 9.32
Energy (eV/atom): -5.820
Crystal system: trigonal
Formation energy from the elements (kJ/mol of formula units): -25

Cell lengths 7.4838, 7.4838, 7.4838 Å; angles 18.61, 18.61, 18.61 degrees
Last column: nearest neighbours and their distance in Å.
Fractional coordinates of all 4 atoms:
Fe 0.7500 0.7500 0.7500  6 Be 2.33, 6 Fe 2.42
Be 0.5011 0.5011 0.5011  3 Co 2.29, 3 Fe 2.33, 6 Be 2.42
Be 0.9989 0.9989 0.9989  3 Co 2.29, 3 Fe 2.33, 6 Be 2.42
Co 0.2500 0.2500 0.2500  6 Be 2.29, 6 Co 2.42

# 7
Material: Sr2SmAs3Pt4
Method: DFT, PBE
State: optimized geometry

Calculated values
Size of the total moment (μB/cell): 0.0
Density (g/cm³): 10.0
Calculated volume (A^3/atom): 22.05
Energy (eV/atom): -5.471
Crystal system: tetragonal
Formation energy from the elements (kJ/mol of formula units): -821

Cell lengths 4.4046, 4.4046, 11.3646 Å; angles 90.00, 90.00, 90.00 degrees
Last column: nearest neighbours and their distance in Å.
Fractional coordinates of all 10 atoms:
Sr 0.5000 0.0000 0.2232  4 As 3.33, 8 Pt 3.36-3.38
Sr 0.0000 0.5000 0.7768  4 As 3.33, 8 Pt 3.36-3.38
As 0.0000 0.0000 0.5000  4 Pt 2.87, 4 Sm 3.11
As 0.5000 0.0000 0.8802  5 Pt 2.49-2.59
As 0.0000 0.5000 0.1198  5 Pt 2.49-2.59
Pt 0.0000 0.0000 0.0000  4 As 2.59
Pt 0.5000 0.5000 0.0000  4 As 2.59
Pt 0.5000 0.0000 0.6615  1 As 2.49
Pt 0.0000 0.5000 0.3385  1 As 2.49
Sm 0.5000 0.5000 0.5000  4 Pt 2.87, 4 As 3.11

# 8
Material: DyLuTe
Method: DFT, PBE
State: optimized geometry

Calculated values
Size of the total moment (μB/cell): 0.0
Density (g/cm³): 8.7
Calculated volume (A^3/atom): 29.48
Energy (eV/atom): -4.532
Offset from the most stable computed form (meV/atom): 309
Raw formation energy (eV/atom): -0.44
Crystal system: trigonal

Cell lengths 3.8984, 5.1185, 5.1185 Å; angles 120.00, 90.00, 90.00 degrees
Last column: nearest neighbours and their distance in Å.
Fractional coordinates of all 3 atoms:
Lu 0.0984 0.0000 0.0000  3 Te 3.06
Dy 0.5947 0.6667 0.3333  3 Te 3.16, 3 Lu 3.53
Te 0.3068 0.3333 0.6667  3 Lu 3.06, 3 Dy 3.16

# 9
Material: V4ReW
Method: DFT, PBE
State: optimized geometry

Calculated values
Size of the total moment (μB/cell): 0.0
Density (g/cm³): 11.3
Calculated volume (A^3/atom): 14.04
Energy (eV/atom): -10.506
Offset from the most stable computed form (meV/atom): 0
Crystal system: orthorhombic
Formation energy from the elements (kJ/mol of formula units): -112

Cell lengths 4.3147, 4.2867, 5.0346 Å; angles 64.80, 90.00, 90.00 degrees
Last column: nearest neighbours and their distance in Å.
Fractional coordinates of all 6 atoms:
Re 0.5000 0.5000 0.0000  8 V 2.63-2.64
V 0.0000 0.6667 0.6666  4 V 2.63-2.64, 2 W 2.63, 2 Re 2.64
V 0.0000 0.3333 0.3334  4 V 2.63-2.64, 2 W 2.63, 2 Re 2.64
V 0.5000 0.1669 0.6663  4 V 2.62-2.64, 2 Re 2.63, 2 W 2.64
V 0.5000 0.8331 0.3337  4 V 2.62-2.64, 2 Re 2.63, 2 W 2.64
W 0.0000 0.0000 0.0000  8 V 2.63-2.64

# 10
Material: NaNpTeO2
Method: DFT, PBE
State: optimized geometry

Calculated values
Size of the total moment (μB/cell): 2.1
Density (g/cm³): 7.2
Calculated volume (A^3/atom): 19.35
Energy (eV/atom): -7.429
Raw formation energy (eV/atom): -1.97
Crystal system: tetragonal

Cell lengths 3.8705, 3.8705, 7.0146 Å; angles 106.01, 106.01, 90.00 degrees
Last column: nearest neighbours and their distance in Å.
Fractional coordinates of all 5 atoms:
O 0.2355 0.7355 0.4711  2 Np 2.12
O 0.7355 0.2355 0.4711  2 Np 2.12
Te 0.5145 0.5145 0.0290  4 Np 3.38, 4 O 3.45, 4 Na 3.49
Na 0.8465 0.8465 0.6931  4 O 2.41
Np 0.1678 0.1678 0.3357  4 O 2.12

# 11
Material: Ti4Al
Method: DFT, PBE
State: optimized geometry

Calculated values
Size of the total moment (μB/cell): 3.0
Density (g/cm³): 3.5
Calculated volume (A^3/atom): 20.82
Energy (eV/atom): -6.203
Offset from the most stable computed form (meV/atom): 1019
Crystal system: cubic
Formation energy from the elements (kJ/mol of formula units): 416

Cell lengths 4.7045, 4.7045, 4.7045 Å; angles 90.00, 90.00, 90.00 degrees
Last column: nearest neighbours and their distance in Å.
Fractional coordinates of all 5 atoms:
Al 0.5000 0.5000 0.5000  6 Ti 2.35
Ti 0.0000 0.5000 0.5000  2 Al 2.35
Ti 0.0000 0.0000 0.0000  12 Ti 3.33
Ti 0.5000 0.0000 0.5000  2 Al 2.35
Ti 0.5000 0.5000 0.0000  2 Al 2.35

# 12
Material: AcHo3Tc
Method: DFT, PBE
State: optimized geometry

Calculated values
Size of the total moment (μB/cell): 0.0
Density (g/cm³): 8.4
Calculated volume (A^3/atom): 32.46
Energy (eV/atom): -5.566
Crystal system: cubic
Formation energy from the elements (kJ/mol of formula units): 36

Cell lengths 5.4549, 5.4549, 5.4549 Å; angles 90.00, 90.00, 90.00 degrees
Last column: nearest neighbours and their distance in Å.
Fractional coordinates of all 5 atoms:
Ac 0.5000 0.5000 0.5000  12 Ho 3.86
Ho 0.5000 0.0000 0.0000  2 Tc 2.73
Ho 0.0000 0.0000 0.5000  2 Tc 2.73
Ho 0.0000 0.5000 0.0000  2 Tc 2.73
Tc 0.0000 0.0000 0.0000  6 Ho 2.73